1.
This record from Alexandria describes a relaxed BaAgMoF6 crystal. The functional is GGA+U.

Unit cell a=6.0659 b=6.0659 c=5.4318 alpha=90.00 beta=90.00 gamma=120.00
Last column: nearest neighbours and their distance in Å.
Atoms (fractional coordinates):
Ba 0.0000 0.0000 0.0000  6 F 2.65
Ag 0.6667 0.3333 0.5000  6 F 2.49
Mo 0.3333 0.6667 0.5000  6 F 2.11
F 0.0476 0.3773 0.2818  1 Mo 2.11
F 0.0476 0.6703 0.7182  1 Mo 2.11
F 0.3297 0.3773 0.7182  1 Mo 2.11
F 0.3297 0.9524 0.2818  1 Mo 2.11
F 0.6227 0.6703 0.2818  1 Mo 2.11
F 0.6227 0.9524 0.7182  1 Mo 2.11

Calculated total energy in eV per atom: -5.24
Crystal system: trigonal

2.
This record from Alexandria describes a relaxed BaAg2MoF8 crystal. The functional is GGA+U.

Unit cell a=4.5873 b=5.7656 c=7.9250 alpha=92.49 beta=90.56 gamma=93.75
Last column: nearest neighbours and their distance in Å.
Atoms (fractional coordinates):
Ba 0.0000 0.0000 0.0000  8 F 2.63-2.79
Ag 0.4855 0.4800 0.7558  4 F 2.33-2.51
Ag 0.5145 0.5200 0.2442  4 F 2.33-2.51
Mo 0.0000 0.0000 0.5000  6 F 1.98-2.06
F 0.1157 0.7920 0.2961  1 Mo 2.06
F 0.1324 0.8044 0.6835  1 Mo 1.99
F 0.3571 0.2127 0.5106  1 Mo 1.98
F 0.4986 0.7494 0.9845  2 Ag 2.33-2.50
F 0.5014 0.2506 0.0155  2 Ag 2.33-2.50
F 0.6429 0.7873 0.4894  1 Mo 1.98
F 0.8676 0.1956 0.3165  1 Mo 1.99
F 0.8843 0.2080 0.7039  1 Mo 2.06

Calculated total energy in eV per atom: -4.82
Crystal system: triclinic

Please write out number 1 again, unchanged.
This record from Alexandria describes a relaxed BaAgMoF6 crystal. The functional is GGA+U.

Unit cell a=6.0659 b=6.0659 c=5.4318 alpha=90.00 beta=90.00 gamma=120.00
Last column: nearest neighbours and their distance in Å.
Atoms (fractional coordinates):
Ba 0.0000 0.0000 0.0000  6 F 2.65
Ag 0.6667 0.3333 0.5000  6 F 2.49
Mo 0.3333 0.6667 0.5000  6 F 2.11
F 0.0476 0.3773 0.2818  1 Mo 2.11
F 0.0476 0.6703 0.7182  1 Mo 2.11
F 0.3297 0.3773 0.7182  1 Mo 2.11
F 0.3297 0.9524 0.2818  1 Mo 2.11
F 0.6227 0.6703 0.2818  1 Mo 2.11
F 0.6227 0.9524 0.7182  1 Mo 2.11

Calculated total energy in eV per atom: -5.24
Crystal system: trigonal

What is the formula in the second record? BaAg2MoF8

Which of these has the highest calculated total energy? BaAg2MoF8